# 1
First-principles (GGA-PBE) data for a relaxed structure of PmTmCuSb, as listed in Alexandria.

The structure in CIF format:
```
data_PmTmCuSb
_symmetry_space_group_name_H-M 'P 1'
_symmetry_Int_Tables_number 1
_cell_length_a 5.1646
_cell_length_b 5.1646
_cell_length_c 5.1646
_cell_angle_alpha 60.00
_cell_angle_beta 60.00
_cell_angle_gamma 60.00
loop_
_symmetry_equiv_pos_as_xyz
'x,y,z'
loop_
_atom_site_label
_atom_site_type_symbol
_atom_site_fract_x
_atom_site_fract_y
_atom_site_fract_z
Pm1 Pm 0.0000 0.0000 0.0000
Tm1 Tm 0.5000 0.5000 0.5000
Cu1 Cu 0.2500 0.2500 0.2500
Sb1 Sb 0.7500 0.7500 0.7500
```

E_form (uncorrected): -0.45 eV/atom
total energy: -4.814 eV/atom
calculated volume: 97 Å³/cell
M_tot: 0.0 μB per formula unit
calculated density: 8.5 g cm⁻³
Fermi-level density of states: 1.18 states/eV/atom

=====

# 2
First-principles (GGA-PBE) data for a relaxed structure of PmZnCuSb, as listed in Alexandria.

The structure in CIF format:
```
data_PmZnCuSb
_symmetry_space_group_name_H-M 'P 1'
_symmetry_Int_Tables_number 1
_cell_length_a 4.9336
_cell_length_b 4.9336
_cell_length_c 4.9336
_cell_angle_alpha 60.00
_cell_angle_beta 60.00
_cell_angle_gamma 60.00
loop_
_symmetry_equiv_pos_as_xyz
'x,y,z'
loop_
_atom_site_label
_atom_site_type_symbol
_atom_site_fract_x
_atom_site_fract_y
_atom_site_fract_z
Pm1 Pm 0.5000 0.5000 0.5000
Zn1 Zn 0.7500 0.7500 0.7500
Cu1 Cu 0.2500 0.2500 0.2500
Sb1 Sb 0.0000 0.0000 0.0000
```

E_form (uncorrected): -0.23 eV/atom
total energy: -3.793 eV/atom
calculated volume: 85 Å³/cell
M_tot: 0.0 μB per formula unit
calculated density: 7.7 g cm⁻³
Fermi-level density of states: 0.39 states/eV/atom